The following is a DFT calculation (GGA-PBE) of a relaxed Ta5W crystal.

formation enthalpy at 0 K: 223 meV per atom
crystal system: hexagonal
space group: P6_3/mmc

Lattice parameters (Å, degrees): 5.390 5.390 17.572 90.00 90.00 120.00
Fractional coordinates of all 24 atoms:
1 Ta 0.500 0.000 0.000
2 Ta 0.000 0.500 0.000
3 Ta 0.500 0.500 0.000
4 Ta 0.000 0.000 0.094
5 Ta 0.333 0.667 0.124
6 Ta 0.163 0.327 0.250
7 Ta 0.163 0.837 0.250
8 Ta 0.673 0.837 0.250
9 Ta 0.333 0.667 0.376
10 Ta 0.000 0.000 0.406
11 Ta 0.500 0.000 0.500
12 Ta 0.000 0.500 0.500
13 Ta 0.500 0.500 0.500
14 Ta 0.000 0.000 0.594
15 Ta 0.667 0.333 0.624
16 Ta 0.327 0.163 0.750
17 Ta 0.837 0.163 0.750
18 Ta 0.837 0.673 0.750
19 Ta 0.667 0.333 0.876
20 Ta 0.000 0.000 0.906
21 W 0.667 0.333 0.156
22 W 0.667 0.333 0.344
23 W 0.333 0.667 0.656
24 W 0.333 0.667 0.844



The following is a DFT calculation (GGA-PBE) of a relaxed Ta5W7 crystal.

formation enthalpy at 0 K: 443 meV per atom
crystal system: hexagonal
space group: P6_3/mmc

Lattice parameters (Å, degrees): 5.300 5.300 17.365 90.00 90.00 120.00
Fractional coordinates of all 24 atoms:
1 Ta 0.500 0.000 0.000
2 Ta 0.000 0.500 0.000
3 Ta 0.500 0.500 0.000
4 Ta 0.333 0.667 0.126
5 Ta 0.333 0.667 0.374
6 Ta 0.500 0.000 0.500
7 Ta 0.000 0.500 0.500
8 Ta 0.500 0.500 0.500
9 Ta 0.667 0.333 0.626
10 Ta 0.667 0.333 0.874
11 W 0.000 0.000 0.101
12 W 0.667 0.333 0.159
13 W 0.162 0.325 0.250
14 W 0.162 0.838 0.250
15 W 0.675 0.838 0.250
16 W 0.667 0.333 0.341
17 W 0.000 0.000 0.399
18 W 0.000 0.000 0.601
19 W 0.333 0.667 0.659
20 W 0.325 0.162 0.750
21 W 0.838 0.162 0.750
22 W 0.838 0.675 0.750
23 W 0.333 0.667 0.841
24 W 0.000 0.000 0.899



The following is a DFT calculation (GGA-PBE) of a relaxed TaW28 crystal.

formation enthalpy at 0 K: 251 meV per atom
crystal system: cubic
space group: I-43m

Lattice parameters (Å, degrees): 8.557 8.557 8.557 109.47 109.47 109.47
Fractional coordinates of all 29 atoms:
1 Ta 0.000 0.000 0.000
2 W 0.636 0.000 0.000
3 W 0.380 0.192 0.000
4 W 0.192 0.380 0.000
5 W 0.685 0.407 0.000
6 W 0.000 0.636 0.000
7 W 0.407 0.685 0.000
8 W 0.808 0.808 0.188
9 W 0.380 0.000 0.192
10 W 0.000 0.380 0.192
11 W 0.593 0.593 0.278
12 W 0.722 0.315 0.315
13 W 0.315 0.722 0.315
14 W 0.364 0.364 0.364
15 W 0.192 0.000 0.380
16 W 0.000 0.192 0.380
17 W 0.685 0.000 0.407
18 W 0.000 0.685 0.407
19 W 0.593 0.278 0.593
20 W 0.278 0.593 0.593
21 W 0.812 0.620 0.620
22 W 0.620 0.812 0.620
23 W 0.000 0.000 0.636
24 W 0.407 0.000 0.685
25 W 0.000 0.407 0.685
26 W 0.315 0.315 0.722
27 W 0.808 0.188 0.808
28 W 0.188 0.808 0.808
29 W 0.620 0.620 0.812



The following is a DFT calculation (GGA-PBE) of a relaxed Ta25W4 crystal.

formation enthalpy at 0 K: 186 meV per atom
crystal system: cubic
space group: I-43m

Lattice parameters (Å, degrees): 8.844 8.844 8.844 109.47 109.47 109.47
Fractional coordinates of all 29 atoms:
1 W 0.000 0.000 0.631
2 W 0.631 0.000 0.000
3 W 0.000 0.631 0.000
4 W 0.369 0.369 0.369
5 Ta 0.000 0.000 0.000
6 Ta 0.372 0.186 0.000
7 Ta 0.186 0.372 0.000
8 Ta 0.681 0.402 0.000
9 Ta 0.402 0.681 0.000
10 Ta 0.814 0.814 0.185
11 Ta 0.372 0.000 0.186
12 Ta 0.000 0.372 0.186
13 Ta 0.598 0.598 0.279
14 Ta 0.721 0.319 0.319
15 Ta 0.319 0.721 0.319
16 Ta 0.186 0.000 0.372
17 Ta 0.000 0.186 0.372
18 Ta 0.681 0.000 0.402
19 Ta 0.000 0.681 0.402
20 Ta 0.598 0.279 0.598
21 Ta 0.279 0.598 0.598
22 Ta 0.815 0.628 0.628
23 Ta 0.628 0.815 0.628
24 Ta 0.402 0.000 0.681
25 Ta 0.000 0.402 0.681
26 Ta 0.319 0.319 0.721
27 Ta 0.814 0.185 0.814
28 Ta 0.185 0.814 0.814
29 Ta 0.628 0.628 0.815